No. 1
The following is a PBE calculation of crystalline NbTc2Pt2 at its relaxed geometry, from the Alexandria database.

For the energy relative to the lowest polymorph listed for this composition, the calculation gives 44 meV per atom. The total magnetization is 0.00 μB/f.u. Its volume is 82.2 Å³/f.u. As for the formation energy: 0.0214 eV per atom.

abc: 6.789 6.789 3.568
angles: 90.00 90.00 90.00
Space group P4/mbm (No. 127)
Inequivalent atoms, fractional coordinates:
Nb: 0.000 0.000 0.000 [2 per cell]
Tc: 0.129 0.371 0.000 [4 per cell]
Pt: 0.171 0.671 0.500 [4 per cell]

=====

No. 2
The following is a PBE calculation of crystalline ScAgB2Pd at its relaxed geometry, from the Alexandria database.

The total magnetization is 0.00 μB/f.u. Its volume is 94.7 Å³/f.u. As for the formation energy: 1.7027 eV per atom.

abc: 4.329 4.329 5.053
angles: 90.00 90.00 90.00
Space group P4/mmm (No. 123)
Inequivalent atoms, fractional coordinates:
Sc: 0.000 0.000 0.000 [1 per cell]
Ag: 0.000 0.000 0.500 [1 per cell]
B: 0.000 0.500 0.000 [2 per cell]
Pd: 0.500 0.500 0.500 [1 per cell]

=====

No. 3
The following is a PBE calculation of crystalline Ti2VCBr at its relaxed geometry, from the Alexandria database.

For the energy relative to the lowest polymorph listed for this composition, the calculation gives 0 meV per atom. The uncorrected formation energy is 108 meV/atom. The total magnetization is 0.00 μB/f.u. Its volume is 75.0 Å³/f.u.

abc: 4.385 4.385 3.899
angles: 90.00 90.00 90.00
Space group P4/mmm (No. 123)
Inequivalent atoms, fractional coordinates:
Ti: 0.000 0.500 0.000 [2 per cell]
V: 0.000 0.000 0.500 [1 per cell]
C: 0.000 0.000 0.000 [1 per cell]
Br: 0.500 0.500 0.500 [1 per cell]

=====

No. 4
The following is a PBE calculation of crystalline NiSbAs at its relaxed geometry, from the Alexandria database.

The uncorrected formation energy is -113 meV/atom. The total magnetization is 0.00 μB/f.u. Its volume is 60.5 Å³/f.u.

abc: 3.7664 3.7664 4.9249
angles: 90.00 90.00 120.00
Space group P3m1 (No. 156)
Inequivalent atoms, fractional coordinates:
Ni: 0.0000 0.0000 0.0000 [1 per cell]
Sb: 0.3333 0.6667 0.2823 [1 per cell]
As: 0.6667 0.3333 0.8117 [1 per cell]

=====

| no. | Fermi-level density of states (states/eV per atom) | density (g/cm³) |
| --- | --- | --- |
| 1 | 1.37 | 13.72 |
| 2 | 0.76 | 4.92 |
| 3 | 1.80 | 5.28 |
| 4 | 0.62 | 7.01 |